(1)
Pm5Tl2Cu PBE relaxed; volume = 464 Å³/cell; ΔE_f = -238.2 meV/atom; magnetization = 0.00 μB/f.u.
1.0
6.910 0.000 0.000
0.000 13.122 0.000
0.000 0.000 5.120
Pm Tl Cu
10 4 2
direct
0.000 0.000 0.000
0.104 0.283 0.000
0.175 0.595 0.500
0.325 0.095 0.500
0.396 0.783 0.000
0.500 0.500 0.000
0.604 0.217 0.000
0.675 0.905 0.500
0.825 0.405 0.500
0.896 0.717 0.000
0.139 0.851 0.500
0.361 0.351 0.500
0.639 0.649 0.500
0.861 0.149 0.500
0.000 0.500 0.000
0.500 0.000 0.000



(2)
Pm6TlCu2 PBE relaxed; volume = 518 Å³/cell; ΔE_f = -155.8 meV/atom; magnetization = 0.00 μB/f.u.
1.0
-4.783 5.115 5.288
4.783 -5.115 5.288
4.783 5.115 -5.288
Pm Tl Cu
12 2 4
direct
0.038 0.237 0.802
0.185 0.284 0.469
0.185 0.716 0.902
0.321 0.016 0.695
0.321 0.626 0.305
0.435 0.237 0.198
0.565 0.763 0.802
0.679 0.374 0.695
0.679 0.984 0.305
0.815 0.284 0.098
0.815 0.716 0.531
0.962 0.763 0.198
0.000 0.000 0.000
0.500 0.500 0.000
0.117 0.617 0.500
0.354 0.000 0.354
0.646 0.000 0.646
0.883 0.383 0.500